No. 1
# Cr2Fe5SiB2 (PBE-GGA, optimized geometry)
data_Cr2Fe5SiB2
_chemical_formula_sum 'Cr4 Fe10 Si2 B4'
_space_group_name_H-M_alt 'P 1'
_space_group_IT_number 1
_cell_length_a 2.6959
_cell_length_b 8.4790
_cell_length_c 8.4790
_cell_angle_alpha 90.00
_cell_angle_beta 90.00
_cell_angle_gamma 90.00
loop_
_space_group_symop_operation_xyz
'x,y,z'
loop_
_atom_site_label
_atom_site_fract_x
_atom_site_fract_y
_atom_site_fract_z
Fe1 0.5000 0.5665 0.7117
Fe2 0.5000 0.2883 0.5665
Fe3 0.5000 0.5000 0.0000
Fe4 0.5000 0.0665 0.7883
Fe5 0.5000 0.2117 0.0665
Fe6 0.5000 0.4335 0.2883
Fe7 0.5000 0.7883 0.9335
Fe8 0.5000 0.9335 0.2117
Fe9 0.5000 0.7117 0.4335
Fe10 0.5000 0.0000 0.5000
Si1 0.0000 0.0000 0.0000
Si2 0.0000 0.5000 0.5000
B1 0.0000 0.3752 0.1248
B2 0.0000 0.1248 0.6248
B3 0.0000 0.6248 0.8752
B4 0.0000 0.8752 0.3752
Cr1 0.0000 0.3231 0.8231
Cr2 0.0000 0.8231 0.6769
Cr3 0.0000 0.1769 0.3231
Cr4 0.0000 0.6769 0.1769
# Formation energy from raw total energies = -303 meV per atom
# Magnetic moment = 0.07 μB/atom
# Crystal system = tetragonal

***

No. 2
# CrFe5Tc2B2 (PBE-GGA, optimized geometry)
data_CrFe5Tc2B2
_chemical_formula_sum 'Cr2 Fe10 Tc4 B4'
_space_group_name_H-M_alt 'P 1'
_space_group_IT_number 1
_cell_length_a 2.7775
_cell_length_b 8.6469
_cell_length_c 8.6469
_cell_angle_alpha 90.00
_cell_angle_beta 90.00
_cell_angle_gamma 90.00
loop_
_space_group_symop_operation_xyz
'x,y,z'
loop_
_atom_site_label
_atom_site_fract_x
_atom_site_fract_y
_atom_site_fract_z
Tc1 0.0000 0.3200 0.8200
Tc2 0.0000 0.8200 0.6800
Tc3 0.0000 0.6800 0.1800
Tc4 0.0000 0.1800 0.3200
Fe1 0.5000 0.5614 0.7145
Fe2 0.5000 0.0614 0.7855
Fe3 0.5000 0.9386 0.2145
Fe4 0.5000 0.2855 0.5614
Fe5 0.5000 0.7855 0.9386
Fe6 0.5000 0.4386 0.2855
Fe7 0.5000 0.5000 0.0000
Fe8 0.5000 0.7145 0.4386
Fe9 0.5000 0.2145 0.0614
Fe10 0.5000 0.0000 0.5000
B1 0.0000 0.3764 0.1236
B2 0.0000 0.8764 0.3764
B3 0.0000 0.6236 0.8764
B4 0.0000 0.1236 0.6236
Cr1 0.0000 0.5000 0.5000
Cr2 0.0000 0.0000 0.0000
# E_form = -0.10 eV per atom
# Magnetic moment = 0.47 μB/atom
# Crystal system = tetragonal

***

No. 3
# Ti2CrFeB (PBE-GGA, optimized geometry)
data_Ti2CrFeB
_chemical_formula_sum 'Ti2 Cr1 Fe1 B1'
_space_group_name_H-M_alt 'P 1'
_space_group_IT_number 1
_cell_length_a 4.4354
_cell_length_b 3.9775
_cell_length_c 4.4354
_cell_angle_alpha 90.00
_cell_angle_beta 90.00
_cell_angle_gamma 90.00
loop_
_space_group_symop_operation_xyz
'x,y,z'
loop_
_atom_site_label
_atom_site_fract_x
_atom_site_fract_y
_atom_site_fract_z
Ti1 0.0000 0.0000 0.5000
Ti2 0.5000 0.0000 0.0000
Cr1 0.0000 0.0000 0.0000
Fe1 0.0000 0.5000 0.0000
B1 0.5000 0.5000 0.5000
# E_form = 1.31 eV per atom
# Magnetic moment = 0.00 μB/atom
# Crystal system = tetragonal

***

No. 4
# CrGaB2 (PBE-GGA, optimized geometry)
data_CrGaB2
_chemical_formula_sum 'Cr2 Ga2 B4'
_space_group_name_H-M_alt 'P 1'
_space_group_IT_number 1
_cell_length_a 5.5355
_cell_length_b 5.5355
_cell_length_c 4.9205
_cell_angle_alpha 55.77
_cell_angle_beta 55.77
_cell_angle_gamma 90.00
loop_
_space_group_symop_operation_xyz
'x,y,z'
loop_
_atom_site_label
_atom_site_fract_x
_atom_site_fract_y
_atom_site_fract_z
Cr1 0.2500 0.7500 0.5000
Cr2 0.5000 0.5000 0.0000
B1 0.6181 0.1250 0.2500
B2 0.8750 0.8681 0.7500
B3 0.1319 0.6250 0.2500
B4 0.3750 0.3819 0.7500
Ga1 0.7500 0.2500 0.5000
Ga2 0.0000 0.0000 0.0000
# Distance to the lowest polymorph of the same formula = 0.00 kJ per mole of atoms
# E_form = 0.86 eV per atom
# Magnetic moment = 0.30 μB/atom
# Crystal system = tetragonal